Entry 1:
First-principles (SCAN) data for GeSbTe2Rh at its PBEsol-relaxed geometry, as listed in Alexandria.

Results
Raw formation energy (eV per formula unit): 5.627
SG: P4/mmm

Cell lengths 5.190, 5.190, 5.080 Å; angles 90.00, 90.00, 90.00 degrees
Atoms (fractional coordinates):
1 Ge 0.000 0.000 0.000
2 Sb 0.000 0.000 0.500
3 Te 0.000 0.500 0.000
4 Te 0.500 0.000 0.000
5 Rh 0.500 0.500 0.500

---

Entry 2:
First-principles (SCAN) data for EuSbPd at its PBEsol-relaxed geometry, as listed in Alexandria.

Results
Raw formation energy (eV per formula unit): -3.206
SG: Pnma

Cell lengths 7.455, 4.645, 7.865 Å; angles 90.00, 90.00, 90.00 degrees
Atoms (fractional coordinates):
1 Eu 0.007 0.250 0.201
2 Eu 0.493 0.750 0.701
3 Eu 0.507 0.250 0.299
4 Eu 0.993 0.750 0.799
5 Sb 0.195 0.250 0.593
6 Sb 0.305 0.750 0.093
7 Sb 0.695 0.250 0.907
8 Sb 0.805 0.750 0.407
9 Pd 0.188 0.750 0.419
10 Pd 0.312 0.250 0.919
11 Pd 0.688 0.750 0.081
12 Pd 0.812 0.250 0.581

---

Entry 3:
First-principles (SCAN) data for AgHgRu at its PBEsol-relaxed geometry, as listed in Alexandria.

Results
Formation enthalpy at 0 K (eV/atom): 0.659
SG: P3m1

Cell lengths 4.630, 4.630, 2.681 Å; angles 90.00, 90.00, 120.00 degrees
Atoms (fractional coordinates):
1 Ag 0.000 0.000 0.000
2 Hg 0.667 0.333 0.710
3 Ru 0.333 0.667 0.378

---

Entry 4:
First-principles (SCAN) data for CdFeAg2 at its PBEsol-relaxed geometry, as listed in Alexandria.

Results
Formation enthalpy at 0 K (eV/atom): 0.194
SG: Pmm2

Cell lengths 2.846, 3.850, 5.852 Å; angles 90.00, 90.00, 90.00 degrees
Atoms (fractional coordinates):
1 Cd 0.000 0.000 0.000
2 Fe 0.500 0.500 0.251
3 Ag 0.000 0.000 0.477
4 Ag 0.500 0.500 0.733

---

Entry 5:
First-principles (SCAN) data for Mg2CoW at its PBEsol-relaxed geometry, as listed in Alexandria.

Results
Formation enthalpy at 0 K (eV/atom): 0.312
SG: P4/mmm

Cell lengths 2.700, 2.700, 8.354 Å; angles 90.00, 90.00, 90.00 degrees
Atoms (fractional coordinates):
1 Mg 0.000 0.000 0.228
2 Mg 0.000 0.000 0.772
3 Co 0.500 0.500 0.000
4 W 0.500 0.500 0.500

---

Entry 6:
First-principles (SCAN) data for LiZr2TaTi at its PBEsol-relaxed geometry, as listed in Alexandria.

Results
Formation enthalpy at 0 K (eV/atom): 1.173
SG: P4/mmm

Cell lengths 4.780, 4.780, 4.414 Å; angles 90.00, 90.00, 90.00 degrees
Atoms (fractional coordinates):
1 Li 0.000 0.000 0.000
2 Zr 0.000 0.500 0.500
3 Zr 0.500 0.000 0.500
4 Ta 0.500 0.500 0.000
5 Ti 0.000 0.000 0.500

---

Entry 7:
First-principles (SCAN) data for Ta2Co3Ge at its PBEsol-relaxed geometry, as listed in Alexandria.

Results
Formation enthalpy at 0 K (eV/atom): -0.268
SG: P6_3/mmc

Cell lengths 4.830, 4.830, 7.543 Å; angles 90.00, 90.00, 120.00 degrees
Atoms (fractional coordinates):
1 Ta 0.333 0.667 0.061
2 Ta 0.333 0.667 0.439
3 Ta 0.667 0.333 0.561
4 Ta 0.667 0.333 0.939
5 Co 0.172 0.343 0.750
6 Co 0.172 0.828 0.750
7 Co 0.343 0.172 0.250
8 Co 0.657 0.828 0.750
9 Co 0.828 0.172 0.250
10 Co 0.828 0.657 0.250
11 Ge 0.000 0.000 0.000
12 Ge 0.000 0.000 0.500

---

Entry 8:
First-principles (SCAN) data for CoHg2Cl at its PBEsol-relaxed geometry, as listed in Alexandria.

Results
Raw formation energy (eV per formula unit): -0.262
SG: Imm2

Cell lengths 6.493, 6.493, 6.493 Å; angles 153.82, 138.03, 50.14 degrees
Atoms (fractional coordinates):
1 Co 0.000 0.000 0.000
2 Hg 0.194 0.694 0.500
3 Hg 0.529 0.529 0.000
4 Cl 0.852 0.352 0.500

---

Entry 9:
First-principles (SCAN) data for KLa2Re at its PBEsol-relaxed geometry, as listed in Alexandria.

Results
Formation enthalpy at 0 K (eV/atom): 0.843
SG: Cmm2

Cell lengths 3.256, 3.256, 11.858 Å; angles 90.00, 90.00, 115.41 degrees
Atoms (fractional coordinates):
1 K 0.000 0.000 0.000
2 La 0.000 0.000 0.405
3 La 0.500 0.500 0.680
4 Re 0.500 0.500 0.235

---

Entry 10:
First-principles (SCAN) data for YCrRu2 at its PBEsol-relaxed geometry, as listed in Alexandria.

Results
Formation enthalpy at 0 K (eV/atom): 0.021
SG: P4/mmm

Cell lengths 4.462, 4.462, 3.145 Å; angles 90.00, 90.00, 90.00 degrees
Atoms (fractional coordinates):
1 Y 0.000 0.000 0.000
2 Cr 0.500 0.500 0.000
3 Ru 0.000 0.500 0.500
4 Ru 0.500 0.000 0.500

---

Entry 11:
First-principles (SCAN) data for BeCoSi4 at its PBEsol-relaxed geometry, as listed in Alexandria.

Results
Raw formation energy (eV per formula unit): 4.704
SG: F-43m

Cell lengths 4.787, 4.787, 4.787 Å; angles 60.00, 60.00, 60.00 degrees
Atoms (fractional coordinates):
1 Be 0.000 0.000 0.000
2 Co 0.250 0.250 0.250
3 Si 0.124 0.625 0.625
4 Si 0.625 0.124 0.625
5 Si 0.625 0.625 0.124
6 Si 0.625 0.625 0.625

---

Entry 12:
First-principles (SCAN) data for FeNiN2 at its PBEsol-relaxed geometry, as listed in Alexandria.

Results
Raw formation energy (eV per formula unit): 3.366
SG: Fm-3m

Cell lengths 3.537, 3.537, 3.537 Å; angles 60.00, 60.00, 60.00 degrees
Atoms (fractional coordinates):
1 Fe 0.000 0.000 0.000
2 Ni 0.500 0.500 0.500
3 N 0.250 0.250 0.250
4 N 0.750 0.750 0.750

---

Entry 13:
First-principles (SCAN) data for AlCoHgBr2 at its PBEsol-relaxed geometry, as listed in Alexandria.

Results
Raw formation energy (eV per formula unit): 4.094
SG: P4/mmm

Cell lengths 5.522, 5.522, 5.078 Å; angles 90.00, 90.00, 90.00 degrees
Atoms (fractional coordinates):
1 Al 0.000 0.000 0.000
2 Co 0.500 0.500 0.000
3 Hg 0.000 0.000 0.500
4 Br 0.000 0.500 0.500
5 Br 0.500 0.000 0.500

---

Entry 14:
First-principles (SCAN) data for MoAsW3 at its PBEsol-relaxed geometry, as listed in Alexandria.

Results
Formation enthalpy at 0 K (eV/atom): 2.339
SG: Pm-3m

Cell lengths 4.688, 4.688, 4.688 Å; angles 90.00, 90.00, 90.00 degrees
Atoms (fractional coordinates):
1 Mo 0.000 0.000 0.000
2 As 0.500 0.500 0.500
3 W 0.000 0.000 0.500
4 W 0.000 0.500 0.000
5 W 0.500 0.000 0.000

---

Entry 15:
First-principles (SCAN) data for YCoBr2 at its PBEsol-relaxed geometry, as listed in Alexandria.

Results
Raw formation energy (eV per formula unit): -1.081
SG: I-42d

Cell lengths 8.547, 8.547, 8.547 Å; angles 147.75, 147.75, 46.25 degrees
Atoms (fractional coordinates):
1 Y 0.000 0.000 0.000
2 Y 0.750 0.250 0.500
3 Co 0.250 0.750 0.500
4 Co 0.500 0.500 0.000
5 Br 0.171 0.625 0.046
6 Br 0.375 0.421 0.546
7 Br 0.579 0.125 0.954
8 Br 0.875 0.829 0.454

---

Entry 16:
First-principles (SCAN) data for NaSc2Ru at its PBEsol-relaxed geometry, as listed in Alexandria.

Results
Formation enthalpy at 0 K (eV/atom): 0.424
SG: R-3m

Cell lengths 10.897, 10.897, 10.897 Å; angles 16.05, 16.05, 16.05 degrees
Atoms (fractional coordinates):
1 Na 0.000 0.000 0.000
2 Sc 0.429 0.429 0.429
3 Sc 0.571 0.571 0.571
4 Ru 0.500 0.500 0.500

---

Entry 17:
First-principles (SCAN) data for Sr2P at its PBEsol-relaxed geometry, as listed in Alexandria.

Results
Formation enthalpy at 0 K (eV/atom): -0.970
SG: Pnma

Cell lengths 7.404, 4.111, 13.469 Å; angles 90.00, 90.00, 90.00 degrees
Atoms (fractional coordinates):
1 Sr 0.098 0.250 0.240
2 Sr 0.222 0.750 0.489
3 Sr 0.278 0.250 0.989
4 Sr 0.402 0.750 0.740
5 Sr 0.598 0.250 0.260
6 Sr 0.722 0.750 0.011
7 Sr 0.778 0.250 0.511
8 Sr 0.902 0.750 0.760
9 P 0.123 0.250 0.645
10 P 0.377 0.750 0.145
11 P 0.623 0.250 0.855
12 P 0.877 0.750 0.355

---

Entry 18:
First-principles (SCAN) data for Ba2VN3 at its PBEsol-relaxed geometry, as listed in Alexandria.

Results
Raw formation energy (eV per formula unit): -7.736
SG: Cmce

Cell lengths 6.475, 6.475, 12.928 Å; angles 90.00, 90.00, 126.29 degrees
Atoms (fractional coordinates):
1 Ba 0.056 0.944 0.855
2 Ba 0.141 0.859 0.421
3 Ba 0.359 0.641 0.921
4 Ba 0.444 0.556 0.355
5 Ba 0.556 0.444 0.645
6 Ba 0.641 0.359 0.079
7 Ba 0.859 0.141 0.579
8 Ba 0.944 0.056 0.145
9 V 0.244 0.756 0.667
10 V 0.256 0.744 0.167
11 V 0.744 0.256 0.833
12 V 0.756 0.244 0.333
13 N 0.025 0.475 0.750
14 N 0.094 0.906 0.633
15 N 0.167 0.833 0.056
16 N 0.333 0.667 0.556
17 N 0.406 0.594 0.133
18 N 0.475 0.025 0.250
19 N 0.525 0.975 0.750
20 N 0.594 0.406 0.867
21 N 0.667 0.333 0.444
22 N 0.833 0.167 0.944
23 N 0.906 0.094 0.367
24 N 0.975 0.525 0.250

---

Entry 19:
First-principles (SCAN) data for CoCuHg at its PBEsol-relaxed geometry, as listed in Alexandria.

Results
Formation enthalpy at 0 K (eV/atom): 0.275
SG: I4mm

Cell lengths 5.357, 5.357, 5.357 Å; angles 148.57, 148.57, 45.05 degrees
Atoms (fractional coordinates):
1 Co 0.000 0.000 0.000
2 Cu 0.634 0.634 0.000
3 Hg 0.318 0.318 0.000

---

Entry 20:
First-principles (SCAN) data for Y2MnCl at its PBEsol-relaxed geometry, as listed in Alexandria.

Results
Raw formation energy (eV per formula unit): 0.866
SG: F-43m

Cell lengths 5.029, 5.029, 5.029 Å; angles 60.00, 60.00, 60.00 degrees
Atoms (fractional coordinates):
1 Y 0.000 0.000 0.000
2 Y 0.250 0.250 0.250
3 Mn 0.500 0.500 0.500
4 Cl 0.750 0.750 0.750

---

Entry 21:
First-principles (SCAN) data for BaY2Te4 at its PBEsol-relaxed geometry, as listed in Alexandria.

Results
Raw formation energy (eV per formula unit): -12.319
SG: Pnma

Cell lengths 13.556, 4.415, 16.057 Å; angles 90.00, 90.00, 90.00 degrees
Atoms (fractional coordinates):
1 Ba 0.238 0.250 0.170
2 Ba 0.262 0.750 0.670
3 Ba 0.738 0.250 0.330
4 Ba 0.762 0.750 0.830
5 Y 0.059 0.250 0.391
6 Y 0.080 0.250 0.904
7 Y 0.420 0.750 0.404
8 Y 0.441 0.750 0.891
9 Y 0.559 0.250 0.109
10 Y 0.580 0.250 0.596
11 Y 0.920 0.750 0.096
12 Y 0.941 0.750 0.609
13 Te 0.027 0.750 0.784
14 Te 0.092 0.250 0.577
15 Te 0.129 0.750 0.029
16 Te 0.205 0.750 0.339
17 Te 0.295 0.250 0.839
18 Te 0.371 0.250 0.529
19 Te 0.408 0.750 0.077
20 Te 0.473 0.250 0.284
21 Te 0.527 0.750 0.716
22 Te 0.592 0.250 0.923
23 Te 0.629 0.750 0.471
24 Te 0.705 0.750 0.161
25 Te 0.795 0.250 0.661
26 Te 0.871 0.250 0.971
27 Te 0.908 0.750 0.423
28 Te 0.973 0.250 0.216

---

Entry 22:
First-principles (SCAN) data for AlPPb2 at its PBEsol-relaxed geometry, as listed in Alexandria.

Results
Formation enthalpy at 0 K (eV/atom): -0.010
SG: C2/m

Cell lengths 8.269, 8.269, 3.461 Å; angles 101.71, 101.71, 24.18 degrees
Atoms (fractional coordinates):
1 Al 0.000 0.000 0.000
2 P 0.500 0.500 0.500
3 Pb 0.169 0.169 0.669
4 Pb 0.831 0.831 0.331

---

Entry 23:
First-principles (SCAN) data for CrCu2Cl at its PBEsol-relaxed geometry, as listed in Alexandria.

Results
Raw formation energy (eV per formula unit): 0.141
SG: Cm

Cell lengths 4.194, 4.194, 6.102 Å; angles 97.33, 97.33, 40.89 degrees
Atoms (fractional coordinates):
1 Cr 0.000 0.000 0.000
2 Cu 0.262 0.262 0.809
3 Cu 0.527 0.527 0.662
4 Cl 0.557 0.557 0.292

---

Entry 24:
First-principles (SCAN) data for SrBrCl at its PBEsol-relaxed geometry, as listed in Alexandria.

Results
Raw formation energy (eV per formula unit): -7.645
SG: F-43m

Cell lengths 5.038, 5.038, 5.038 Å; angles 60.00, 60.00, 60.00 degrees
Atoms (fractional coordinates):
1 Sr 0.000 0.000 0.000
2 Br 0.250 0.250 0.250
3 Cl 0.750 0.750 0.750

---

Entry 25:
First-principles (SCAN) data for CuTc at its PBEsol-relaxed geometry, as listed in Alexandria.

Results
Formation enthalpy at 0 K (eV/atom): 0.096
SG: P-3m1

Cell lengths 2.680, 2.680, 8.353 Å; angles 90.00, 90.00, 120.00 degrees
Atoms (fractional coordinates):
1 Cu 0.333 0.667 0.118
2 Cu 0.667 0.333 0.882
3 Tc 0.333 0.667 0.622
4 Tc 0.667 0.333 0.378

---

Entry 26:
First-principles (SCAN) data for BaCaCr at its PBEsol-relaxed geometry, as listed in Alexandria.

Results
Formation enthalpy at 0 K (eV/atom): 0.464
SG: P3m1

Cell lengths 5.599, 5.599, 3.880 Å; angles 90.00, 90.00, 120.00 degrees
Atoms (fractional coordinates):
1 Ba 0.000 0.000 0.000
2 Ca 0.333 0.667 0.562
3 Cr 0.667 0.333 0.417

---

What are the spin magnetization values for these records? In order: 1.4; 6.8; 0.0; 2.9; 1.8; 0.0; 0.0; 1.9; 0.0; 2.2; 1.7; 2.6; 3.4; 0.0; 0.1; 0.1; 0.9; 0.0; 1.8; 1.2; 0.0; 0.0; 3.6; 0.0; 0.0; 4.8 μB per formula unit.